[1]
BaCu2Te2Se6 | GGA-PBE | relaxed

Unit cell a=7.188 b=7.430 c=7.513 alpha=62.54 beta=71.06 gamma=66.81
Space group P-1 (No. 2)
Unique sites:
Ba  0.000  0.000  0.000 x1
Cu  0.490  0.299  0.594 x2
Te  0.005  0.327  0.327 x2
Se  0.247  0.572  0.356 x2
Se  0.253  0.322  0.909 x2
Se  0.257  0.913  0.585 x2

ΔE_f (raw), meV per atom: -356
Total magnetization, μB per atom: 0.000

---

[2]
BaCuTe2Se4 | GGA-PBE | relaxed

Unit cell a=7.458 b=7.458 c=8.230 alpha=90.00 beta=90.00 gamma=90.00
Space group I-42m (No. 121)
Unique sites:
Ba  0.000  0.000  0.000 x2
Cu  0.000  0.000  0.500 x2
Te  0.000  0.500  0.250 x4
Se  0.197  0.197  0.346 x8

ΔE_f (raw), meV per atom: -544
Total magnetization, μB per atom: 0.000

---

[3]
BaCu6Te6Se | GGA-PBE | relaxed

Unit cell a=6.983 b=7.021 c=7.110 alpha=90.00 beta=91.32 gamma=90.00
Space group P2 (No. 3)
Unique sites:
Ba  0.000  0.000  0.000 x1
Cu  0.288  0.307  0.698 x2
Cu  0.293  0.698  0.711 x2
Cu  0.317  0.302  0.313 x2
Te  0.013  0.498  0.202 x2
Te  0.205  0.998  0.507 x2
Te  0.500  0.204  0.000 x1
Te  0.500  0.799  0.000 x1
Se  0.500  0.523  0.500 x1

ΔE_f (raw), meV per atom: -302
Total magnetization, μB per atom: 0.000

---

[4]
BaThCuSe4 | GGA-PBE | relaxed

Unit cell a=7.189 b=6.055 c=9.077 alpha=90.00 beta=107.26 gamma=90.00
Space group P2_1/m (No. 11)
Unique sites:
Ba  0.243  0.250  0.439 x2
Th  0.232  0.250  0.940 x2
Cu  0.247  0.750  0.179 x2
Se  0.062  0.750  0.360 x2
Se  0.077  0.750  0.907 x2
Se  0.485  0.510  0.780 x4

ΔE_f (raw), meV per atom: -1415
Total magnetization, μB per atom: 0.000

---

[5]
Ba2ThCuSe5 | GGA-PBE | relaxed

Unit cell a=4.323 b=18.912 c=13.375 alpha=90.00 beta=90.00 gamma=90.00
Space group Cmc2_1 (No. 36)
Unique sites:
Ba  0.000  0.119  0.000 x4
Ba  0.000  0.119  0.353 x4
Th  0.000  0.192  0.680 x4
Cu  0.000  0.441  0.083 x4
Se  0.000  0.036  0.663 x4
Se  0.000  0.305  0.327 x4
Se  0.000  0.307  0.030 x4
Se  0.000  0.344  0.677 x4
Se  0.000  0.499  0.425 x4

ΔE_f (raw), meV per atom: -1520
Total magnetization, μB per atom: 0.000

---

[6]
Ba2TiCuSe5 | GGA-PBE | relaxed

Unit cell a=4.050 b=19.015 c=12.889 alpha=90.00 beta=90.00 gamma=90.00
Space group Cmc2_1 (No. 36)
Unique sites:
Ba  0.000  0.122  0.000 x4
Ba  0.000  0.124  0.620 x4
Ti  0.000  0.200  0.320 x4
Cu  0.000  0.424  0.740 x4
Se  0.000  0.066  0.342 x4
Se  0.000  0.294  0.953 x4
Se  0.000  0.300  0.682 x4
Se  0.000  0.336  0.312 x4
Se  0.000  0.495  0.588 x4

ΔE_f (raw), meV per atom: -1246
Total magnetization, μB per atom: 0.000

---

Question: ΔE_f (raw) of number 4 (BaThCuSe4)?
Answer: -1415 meV per atom

---

Question: Which value of total magnetization does entry 4 give?
Answer: 0.000 μB per atom

---

Question: Look up the ΔE_f (raw) of the third one.
Answer: -302 meV per atom

---

Question: Which formula does entry 3 have?
Answer: BaCu6Te6Se